Record 1
TiRu2PbCl (PBE, relaxed); formation energy from raw total energies = 1.770 eV/atom; M_tot = 2.75 Bohr magnetons per cell; DFT total energy = -23.2 eV/cell
1.0
-2.7680 0.3734 4.1946
2.5984 -4.0636 2.0765
3.3936 3.1701 1.9572
Cl Ru Pb Ti
1 2 1 1
direct
0.0000 0.5000 0.0000
0.5000 0.0000 0.0000
0.0000 0.0000 0.5000
0.0000 0.0000 0.0000
0.5000 0.5000 0.5000

***

Record 2
LaRu2Pb (PBE, relaxed); formation energy from the elements = 0.04 eV/atom; M_tot = 0.00 Bohr magnetons per cell; DFT total energy = -27.0 eV/cell
1.0
-3.6900 0.1032 -2.9864
2.5377 -2.4033 -3.2186
-1.1820 -3.0623 1.3547
Ru La Pb
2 1 1
direct
0.0000 0.0000 0.0000
0.5000 0.5000 0.0000
0.5000 0.0000 0.5000
0.0000 0.5000 0.5000

***

Record 3
Hf2VRh (PBE, relaxed); formation energy from the elements = 0.40 eV/atom; M_tot = 2.16 Bohr magnetons per cell; ΔE to the lowest computed polymorph = 0.837 eV/atom; DFT total energy = -34.8 eV/cell
1.0
-5.7401 1.4989 -1.2060
3.9148 -3.5330 -2.9736
4.1818 -3.3681 2.7962
Hf V Rh
2 1 1
direct
0.0000 0.2673 0.2673
0.0000 0.7327 0.7327
0.0000 0.0000 0.0000
0.0000 0.5000 0.5000

***

Record 4
ErTm2ScS4 (PBE, relaxed); formation energy from raw total energies = -1.913 eV/atom; M_tot = 0.00 Bohr magnetons per cell; DFT total energy = -51.6 eV/cell
1.0
-2.9431 -2.2234 0.8618
3.4251 -2.5761 5.0505
-3.3685 5.2854 2.1326
S Er Tm Sc
4 1 2 1
direct
0.5000 0.2430 0.2444
0.5000 0.7570 0.7556
0.0000 0.2454 0.7518
0.0000 0.7546 0.2482
0.5000 0.5000 0.0000
0.5000 0.0000 0.5000
0.0000 0.5000 0.5000
0.0000 0.0000 0.0000

***

Record 5
ThHgAs (PBE, relaxed); formation energy from the elements = -0.81 eV/atom; M_tot = 0.00 Bohr magnetons per cell; DFT total energy = -29.6 eV/cell
1.0
4.2519 0.0000 0.0000
0.0000 4.2519 0.0000
0.0000 0.0000 8.6658
Hg As Th
2 2 2
direct
0.0000 0.0000 0.0000
0.5000 0.5000 0.0000
0.5000 0.0000 0.6666
0.0000 0.5000 0.3334
0.0000 0.5000 0.6757
0.5000 0.0000 0.3243

***

Record 6
YBeHg2 (PBE, relaxed); formation energy from the elements = 0.03 eV/atom; M_tot = 0.28 Bohr magnetons per cell; DFT total energy = -10.7 eV/cell
1.0
3.3753 0.0000 0.0000
0.0000 3.3753 0.0000
0.0000 0.0000 7.3643
Hg Be Y
2 1 1
direct
0.5000 0.5000 0.2382
0.0000 0.0000 0.9476
0.5000 0.5000 0.7877
0.0000 0.0000 0.5265

***

Record 7
ScCu2 (PBE, relaxed); formation energy from the elements = -0.22 eV/atom; M_tot = 0.00 Bohr magnetons per cell; DFT total energy = -121.5 eV/cell
1.0
5.0788 0.0000 0.0000
-2.5394 4.3984 0.0000
0.0000 0.0000 16.3466
Cu Sc
16 8
direct
0.5000 0.0000 0.0000
0.5000 0.5000 0.0000
0.5000 0.0000 0.5000
0.8342 0.6684 0.2500
0.3333 0.6667 0.6241
0.6667 0.3333 0.3759
0.6667 0.3333 0.1241
0.5000 0.5000 0.5000
0.6684 0.8342 0.7500
0.1658 0.8342 0.7500
0.3316 0.1658 0.2500
0.1658 0.3316 0.7500
0.0000 0.5000 0.0000
0.8342 0.1658 0.2500
0.0000 0.5000 0.5000
0.3333 0.6667 0.8759
0.3333 0.6667 0.3448
0.0000 0.0000 0.4032
0.0000 0.0000 0.9032
0.0000 0.0000 0.5968
0.6667 0.3333 0.6552
0.3333 0.6667 0.1552
0.0000 0.0000 0.0968
0.6667 0.3333 0.8448

***

Record 8
Sr2IrW (PBE, relaxed); formation energy from the elements = 0.41 eV/atom; M_tot = 0.00 Bohr magnetons per cell; ΔE to the lowest computed polymorph = 0.077 eV/atom; DFT total energy = -23.5 eV/cell
1.0
6.3755 -0.0249 0.0235
5.1848 3.7103 0.0235
2.2391 0.7138 4.8173
Ir Sr W
1 2 1
direct
0.8065 0.8065 0.6936
0.0222 0.0222 0.9777
0.2396 0.2396 0.2604
0.4317 0.4317 0.5683

***

Record 9
AcTl4Se4 (PBE, relaxed); formation energy from raw total energies = -0.783 eV/atom; M_tot = 0.00 Bohr magnetons per cell; DFT total energy = -34.6 eV/cell
1.0
4.4272 0.0000 1.0464
1.7707 7.0831 2.3973
-0.0056 0.7218 9.9125
Se Tl Ac
4 4 1
direct
0.6718 0.9727 0.6838
0.1028 0.6957 0.0988
0.3282 0.0273 0.3162
0.8972 0.3043 0.9012
0.9127 0.7564 0.4182
0.0873 0.2436 0.5818
0.7186 0.3546 0.2081
0.2814 0.6454 0.7919
0.5000 0.0000 0.0000

***

Record 10
Pm3RuI (PBE, relaxed); formation energy from raw total energies = -0.473 eV/atom; M_tot = 0.00 Bohr magnetons per cell; ΔE to the lowest computed polymorph = 0.000 eV/atom; DFT total energy = -54.9 eV/cell
1.0
3.9342 0.0000 -0.0001
0.0000 9.5045 0.0000
0.0001 0.0000 8.7259
I Ru Pm
2 2 6
direct
0.7500 0.2500 0.4339
0.2500 0.7500 0.5661
0.7500 0.2500 0.9741
0.2500 0.7500 0.0259
0.2500 0.4267 0.1477
0.2500 0.2500 0.7588
0.7500 0.7500 0.2412
0.7500 0.9267 0.8523
0.7500 0.5733 0.8523
0.2500 0.0733 0.1477

***

Record 11
YUCu4Si4 (PBE, relaxed); formation energy from raw total energies = -0.462 eV/atom; M_tot = 2.31 Bohr magnetons per cell; DFT total energy = -60.4 eV/cell
1.0
3.9729 0.0000 0.0000
0.0000 3.9729 0.0000
0.0000 0.0000 9.9834
Cu Y U Si
4 1 1 4
direct
0.0000 0.5000 0.2514
0.0000 0.5000 0.7486
0.5000 0.0000 0.7486
0.5000 0.0000 0.2514
0.5000 0.5000 0.5000
0.0000 0.0000 0.0000
0.0000 0.0000 0.6189
0.5000 0.5000 0.1162
0.0000 0.0000 0.3811
0.5000 0.5000 0.8838

***

Record 12
RbTcS2 (PBE, relaxed); formation energy from raw total energies = -0.602 eV/atom; M_tot = 0.00 Bohr magnetons per cell; ΔE to the lowest computed polymorph = 0.095 eV/atom; DFT total energy = -44.0 eV/cell
1.0
-0.4780 2.1333 6.7574
5.5266 -4.1267 1.6938
5.2455 2.2995 3.3775
Rb S Tc
2 4 2
direct
0.2500 0.7500 0.5000
0.5000 0.5000 0.0000
0.7528 0.1250 0.2500
0.9972 0.6250 0.2500
0.8750 0.0028 0.7500
0.3750 0.2472 0.7500
0.7500 0.2500 0.5000
0.0000 0.0000 0.0000

***

Record 13
NaIn6Hg6 (PBE, relaxed); formation energy from the elements = 0.01 eV/atom; M_tot = 0.00 Bohr magnetons per cell; ΔE to the lowest computed polymorph = 0.024 eV/atom; DFT total energy = -19.4 eV/cell
1.0
0.0228 5.8569 2.8640
-5.2191 -2.6288 -2.8909
-2.6963 -4.2676 8.7486
In Hg Na
6 6 1
direct
0.7015 0.2985 0.0000
0.0000 0.0000 0.3441
0.6326 0.3674 0.5000
0.3674 0.6326 0.5000
0.2985 0.7015 0.0000
0.0000 0.0000 0.6559
0.5000 0.5000 0.1967
0.5000 0.5000 0.8033
0.0000 0.5000 0.7276
0.5000 0.0000 0.7276
0.5000 0.0000 0.2724
0.0000 0.5000 0.2724
0.0000 0.0000 0.0000

***

Record 14
ScZnTe2 (PBE, relaxed); formation energy from raw total energies = -0.088 eV/atom; M_tot = 0.00 Bohr magnetons per cell; DFT total energy = -14.2 eV/cell
1.0
5.2017 0.0000 0.0000
2.6009 4.5048 0.0000
2.6009 1.5016 4.2472
Te Zn Sc
2 1 1
direct
0.2500 0.2500 0.2500
0.0000 0.0000 0.0000
0.7500 0.7500 0.7500
0.5000 0.5000 0.5000

***

Record 15
Pr2Tm3Sc (PBE, relaxed); formation energy from the elements = 0.15 eV/atom; M_tot = 0.00 Bohr magnetons per cell; ΔE to the lowest computed polymorph = 0.108 eV/atom; DFT total energy = -56.8 eV/cell
1.0
3.4376 0.0000 0.0000
1.7188 8.7960 0.1251
1.7188 2.0213 12.5402
Sc Tm Pr
2 6 4
direct
0.4357 0.4908 0.6377
0.5643 0.5092 0.3623
0.0398 0.1276 0.7928
0.5993 0.8291 0.9723
0.7405 0.8143 0.7048
0.2595 0.1857 0.2952
0.9602 0.8724 0.2072
0.4007 0.1709 0.0277
0.3493 0.8369 0.4644
0.1775 0.5184 0.1266
0.8225 0.4816 0.8734
0.6507 0.1631 0.5356

***

Record 16
V2CuRe (PBE, relaxed); formation energy from the elements = -0.03 eV/atom; M_tot = 0.00 Bohr magnetons per cell; ΔE to the lowest computed polymorph = 0.028 eV/atom; DFT total energy = -34.9 eV/cell
1.0
-1.5716 -0.8418 -2.5695
3.1183 -2.5333 -1.0773
-1.7914 -3.1033 2.1124
Re V Cu
1 2 1
direct
0.5000 0.5000 0.5000
0.0000 0.5000 0.0000
0.0000 0.0000 0.5000
0.5000 0.0000 0.0000

***

Record 17
BeTe2S (PBE, relaxed); formation energy from raw total energies = 0.680 eV/atom; M_tot = 0.00 Bohr magnetons per cell; ΔE to the lowest computed polymorph = 0.426 eV/atom; DFT total energy = -11.4 eV/cell
1.0
-3.5211 1.8973 2.7466
-2.0306 4.2289 -1.2388
-4.5643 0.1107 -1.6422
S Be Te
1 1 2
direct
0.5000 0.5000 0.5000
0.0000 0.0000 0.0000
0.2500 0.2500 0.2500
0.7500 0.7500 0.7500

***

Record 18
Co4SiW (PBE, relaxed); formation energy from raw total energies = 0.080 eV/atom; M_tot = 1.27 Bohr magnetons per cell; DFT total energy = -46.3 eV/cell
1.0
0.0000 3.2663 3.2663
3.2663 0.0000 3.2663
3.2663 3.2663 0.0000
Co Si W
4 1 1
direct
0.6246 0.6246 0.6246
0.1262 0.6246 0.6246
0.6246 0.1262 0.6246
0.6246 0.6246 0.1262
0.2500 0.2500 0.2500
0.0000 0.0000 0.0000

***

Record 19
Cr2CuPt (PBE, relaxed); formation energy from the elements = 0.02 eV/atom; M_tot = 0.58 Bohr magnetons per cell; DFT total energy = -29.3 eV/cell
1.0
-3.8526 0.0552 1.8332
-3.0433 -2.6689 -1.3497
-1.2340 -3.2529 2.4702
Cu Pt Cr
1 1 2
direct
0.5000 0.5000 0.5000
0.7500 0.7500 0.7500
0.2500 0.2500 0.2500
0.0000 0.0000 0.0000

***

Record 20
InSbMoOs2 (PBE, relaxed); formation energy from raw total energies = 1.615 eV/atom; M_tot = 0.00 Bohr magnetons per cell; DFT total energy = -32.1 eV/cell
1.0
4.7660 0.0000 0.0000
0.0000 5.1122 0.0000
0.0000 0.0000 4.7660
Os Sb Mo In
2 1 1 1
direct
0.0000 0.0000 0.5000
0.5000 0.0000 0.0000
0.5000 0.5000 0.5000
0.0000 0.0000 0.0000
0.0000 0.5000 0.0000

***

| no. | volume (Å³ per atom) |
| --- | --- |
| 1 | 26.7 |
| 2 | 20.0 |
| 3 | 19.3 |
| 4 | 19.6 |
| 5 | 26.1 |
| 6 | 21.0 |
| 7 | 15.2 |
| 8 | 28.6 |
| 9 | 33.8 |
| 10 | 32.6 |
| 11 | 15.8 |
| 12 | 27.5 |
| 13 | 27.4 |
| 14 | 24.9 |
| 15 | 31.5 |
| 16 | 13.5 |
| 17 | 20.2 |
| 18 | 11.6 |
| 19 | 13.7 |
| 20 | 23.2 |